VASP calculation (PBE) on a relaxed structure of SrSmTlAu.

Geometry as POSCAR:
```
SrSmTlAu
1.0
5.455 0.000 0.000
2.727 4.724 0.000
2.727 1.575 4.454
Sr Tl Au Sm
1 1 1 1
Cartesian
0.000 0.000 0.000
8.182 4.724 3.340
2.727 1.575 1.113
5.455 3.149 2.227
```

## Properties
- E: -3.52 eV/atom
- Symmetry: No. 216
- Magnetization: 0.0 μB/f.u.

VASP calculation (PBE) on a relaxed structure of SrOsPb2.

Geometry as POSCAR:
```
SrOsPb2
1.0
3.477 0.000 0.000
0.000 3.477 0.000
0.000 0.000 8.281
Os Pb Sr
1 2 1
Cartesian
1.738 1.738 6.211
0.000 0.000 7.853
0.000 0.000 4.569
1.738 1.738 2.070
```

## Properties
- E: -4.75 eV/atom
- Symmetry: No. 123
- Magnetization: 0.0 μB/f.u.